VASP calculation (PBE-GGA) on a relaxed BaAsIrSe2 crystal.

Output
Distance to the lowest polymorph of the same formula   11.33 eV per formula unit
Formation energy from raw total energies   1.73 eV per atom

Cell lengths 5.902, 5.902, 5.964 Å; angles 90.00, 90.00, 90.00 degrees
Positions (direct):
Ba 0.000 0.000 0.000
Se 0.500 0.000 0.000
Se 0.000 0.500 0.000
Ir 0.500 0.500 0.500
As 0.000 0.000 0.500

***

VASP calculation (PBE-GGA) on a relaxed BaAsIrSe2 crystal.

Output
Distance to the lowest polymorph of the same formula   0.00 eV per formula unit
Formation energy from raw total energies   -0.54 eV per atom

Cell lengths 5.364, 5.364, 4.585 Å; angles 90.00, 90.00, 90.00 degrees
Positions (direct):
Se 0.000 0.500 0.000
Ir 0.000 0.000 0.000
Se 0.500 0.000 0.000
Ba 0.500 0.500 0.500
As 0.000 0.000 0.500

***

VASP calculation (PBE-GGA) on a relaxed BaAs2IrSe crystal.

Output
Distance to the lowest polymorph of the same formula   0.00 eV per formula unit
Formation energy from raw total energies   -0.38 eV per atom

Cell lengths 4.791, 4.791, 5.736 Å; angles 90.00, 90.00, 90.00 degrees
Positions (direct):
Se 0.000 0.000 0.500
Ba 0.500 0.500 0.500
As 0.500 0.000 0.000
As 0.000 0.500 0.000
Ir 0.000 0.000 0.000

***

VASP calculation (PBE-GGA) on a relaxed BaAs2IrSe crystal.

Output
Distance to the lowest polymorph of the same formula   11.69 eV per formula unit
Formation energy from raw total energies   1.96 eV per atom

Cell lengths 5.833, 5.833, 5.201 Å; angles 90.00, 90.00, 90.00 degrees
Positions (direct):
Ba 0.000 0.000 0.000
As 0.500 0.000 0.000
Ir 0.000 0.000 0.500
As 0.000 0.500 0.000
Se 0.500 0.500 0.500

***

VASP calculation (PBE-GGA) on a relaxed BaZn2AsIr crystal.

Output
Formation enthalpy at 0 K   -0.3455 eV/atom

Cell lengths 4.914, 4.914, 4.923 Å; angles 90.00, 90.00, 90.00 degrees
Positions (direct):
As 0.000 0.000 0.500
Ba 0.500 0.500 0.500
Zn 0.000 0.500 0.000
Ir 0.000 0.000 0.000
Zn 0.500 0.000 0.000

***

VASP calculation (PBE-GGA) on a relaxed K2BaAs crystal.

Output
Formation enthalpy at 0 K   -0.0740 eV/atom

Cell lengths 7.142, 7.142, 7.142 Å; angles 45.29, 45.29, 45.29 degrees
Positions (direct):
K 0.967 0.967 0.967
K 0.533 0.533 0.533
Ba 0.750 0.750 0.750
As 0.250 0.250 0.250